Record 1
The following is a DFT calculation (PBE) of a relaxed BeSiOs2 crystal.

The value obtained for the total energy is -7.969 eV per atom.

The space group is C2/m (No. 12) and the conventional cell measures 7.621, 2.837 and 4.829 Å, with angles of 90.00, 103.73 and 90.00 degrees. The asymmetric unit holds Be at (0.000, 0.000, 0.000), Si at (0.000, 0.500, 0.500) and Os at (0.243, 0.500, 0.232).

---

Record 2
The following is a DFT calculation (PBE) of a relaxed Ho2ThCu6 crystal.

The value obtained for the total energy is -4.808 eV per atom. The calculation puts the formation enthalpy at 0 K at -2.1 eV/f.u.

The space group is P6/mmm (No. 191) and the conventional cell measures 7.3799, 7.3799 and 3.5674 Å, with angles of 90.00, 90.00 and 120.00 degrees. The asymmetric unit holds Ho at (0.3333, 0.6667, 0.0000), Th at (0.0000, 0.0000, 0.0000) and Cu at (0.0000, 0.3358, 0.5000).

---

Copy entry 2 word for word.
The following is a DFT calculation (PBE) of a relaxed Ho2ThCu6 crystal.

The value obtained for the total energy is -4.808 eV per atom. The calculation puts the formation enthalpy at 0 K at -2.1 eV/f.u.

The space group is P6/mmm (No. 191) and the conventional cell measures 7.3799, 7.3799 and 3.5674 Å, with angles of 90.00, 90.00 and 120.00 degrees. The asymmetric unit holds Ho at (0.3333, 0.6667, 0.0000), Th at (0.0000, 0.0000, 0.0000) and Cu at (0.0000, 0.3358, 0.5000).